Computed, not measured: a relaxed Fe3Mo5 crystal at the PBE-GGA level of DFT.

Values from the calculation:
total energy = -9.76 eV/atom
polymorph energy (0 for the lowest one) = 33 meV per atom
calculated formation energy = 0.1842 eV per atom
M_tot = 9.2 Bohr magnetons per cell
crystal system = hexagonal

Geometry as CIF:
```
data_Fe3Mo5
_cell_length_a 7.2786
_cell_length_b 7.2786
_cell_length_c 4.9531
_cell_angle_alpha 90.00
_cell_angle_beta 90.00
_cell_angle_gamma 120.00
_space_group_name_H-M_alt 'P 63/m c m'
_space_group_IT_number 193
_space_group_name_Hall '-P 6c 2'
loop_
_atom_site_label
_atom_site_type_symbol
_atom_site_fract_x
_atom_site_fract_y
_atom_site_fract_z
Fe1 Fe 0.0000 0.4083 0.2500
Mo1 Mo 0.0000 0.2329 0.7500
Mo2 Mo 0.3333 0.6667 0.0000
```

***

Computed, not measured: a relaxed Be2CdPb crystal at the PBE-GGA level of DFT.

Values from the calculation:
total energy = -2.58 eV/atom
polymorph energy (0 for the lowest one) = 35 meV per atom
calculated formation energy = 0.4392 eV per atom
M_tot = 0.0 Bohr magnetons per cell
crystal system = monoclinic

Geometry as CIF:
```
data_Be2CdPb
_cell_length_a 7.250
_cell_length_b 4.223
_cell_length_c 5.712
_cell_angle_alpha 90.00
_cell_angle_beta 115.34
_cell_angle_gamma 90.00
_space_group_name_H-M_alt 'C 1 2/m 1'
_space_group_IT_number 12
_space_group_name_Hall '-C 2y'
loop_
_atom_site_label
_atom_site_type_symbol
_atom_site_fract_x
_atom_site_fract_y
_atom_site_fract_z
Be1 Be 0.176 0.000 0.035
Cd1 Cd 0.000 0.500 0.000
Pb1 Pb 0.000 0.000 0.500
```

***

Computed, not measured: a relaxed CsGe2Te4 crystal at the PBE-GGA level of DFT.

Values from the calculation:
total energy = -3.53 eV/atom
polymorph energy (0 for the lowest one) = 0 meV per atom
M_tot = 0.0 Bohr magnetons per cell
formation energy without anion corrections = -2.1 eV/f.u.
crystal system = triclinic

Geometry as CIF:
```
data_CsGe2Te4
_cell_length_a 7.203
_cell_length_b 8.433
_cell_length_c 9.487
_cell_angle_alpha 105.59
_cell_angle_beta 105.69
_cell_angle_gamma 90.21
_space_group_name_H-M_alt 'P 1'
_space_group_IT_number 1
_space_group_name_Hall 'P 1'
loop_
_atom_site_label
_atom_site_type_symbol
_atom_site_fract_x
_atom_site_fract_y
_atom_site_fract_z
Cs1 Cs 0.000 0.000 0.000
Cs2 Cs 0.331 0.862 0.536
Ge1 Ge 0.185 0.422 0.776
Ge2 Ge 0.678 0.666 0.162
Ge3 Ge 0.689 0.440 0.718
Ge4 Ge 0.925 0.391 0.368
Te1 Te 0.021 0.562 0.166
Te2 Te 0.319 0.326 0.525
Te3 Te 0.442 0.231 0.923
Te4 Te 0.463 0.708 0.904
Te5 Te 0.493 0.422 0.222
Te6 Te 0.643 0.985 0.280
Te7 Te 0.840 0.137 0.592
Te8 Te 0.842 0.645 0.582
```

***

Computed, not measured: a relaxed Hf2TiGeH crystal at the PBE-GGA level of DFT.

Values from the calculation:
total energy = -7.52 eV/atom
M_tot = 0.4 Bohr magnetons per cell
crystal system = tetragonal

Geometry as CIF:
```
data_Hf2TiGeH
_cell_length_a 4.339
_cell_length_b 4.339
_cell_length_c 4.036
_cell_angle_alpha 90.00
_cell_angle_beta 90.00
_cell_angle_gamma 90.00
_space_group_name_H-M_alt 'P 4/m m m'
_space_group_IT_number 123
_space_group_name_Hall '-P 4 2'
loop_
_atom_site_label
_atom_site_type_symbol
_atom_site_fract_x
_atom_site_fract_y
_atom_site_fract_z
Hf1 Hf 0.000 0.500 0.000
Ti1 Ti 0.000 0.000 0.500
Ge1 Ge 0.500 0.500 0.500
H1 H 0.000 0.000 0.000
```

***

Computed, not measured: a relaxed LiCaLuIn crystal at the PBE-GGA level of DFT.

Values from the calculation:
total energy = -3.03 eV/atom
calculated formation energy = -0.2369 eV per atom
M_tot = 0.0 Bohr magnetons per cell
crystal system = cubic

Geometry as CIF:
```
data_LiCaLuIn
_cell_length_a 7.488
_cell_length_b 7.488
_cell_length_c 7.488
_cell_angle_alpha 90.00
_cell_angle_beta 90.00
_cell_angle_gamma 90.00
_space_group_name_H-M_alt 'F -4 3 m'
_space_group_IT_number 216
_space_group_name_Hall 'F -4 2 3'
loop_
_atom_site_label
_atom_site_type_symbol
_atom_site_fract_x
_atom_site_fract_y
_atom_site_fract_z
Li1 Li 0.000 0.000 0.000
Ca1 Ca 0.250 0.250 0.250
Lu1 Lu 0.250 0.250 0.750
In1 In 0.000 0.000 0.500
```

***

Computed, not measured: a relaxed CrOs2Rh crystal at the PBE-GGA level of DFT.

Values from the calculation:
total energy = -9.78 eV/atom
polymorph energy (0 for the lowest one) = 45 meV per atom
calculated formation energy = 0.0807 eV per atom
M_tot = 0.5 Bohr magnetons per cell
crystal system = tetragonal

Geometry as CIF:
```
data_CrOs2Rh
_cell_length_a 2.698
_cell_length_b 2.698
_cell_length_c 7.556
_cell_angle_alpha 90.00
_cell_angle_beta 90.00
_cell_angle_gamma 90.00
_space_group_name_H-M_alt 'P 4 m m'
_space_group_IT_number 99
_space_group_name_Hall 'P 4 -2'
loop_
_atom_site_label
_atom_site_type_symbol
_atom_site_fract_x
_atom_site_fract_y
_atom_site_fract_z
Cr1 Cr 0.000 0.000 0.000
Os1 Os 0.000 0.000 0.497
Os2 Os 0.500 0.500 0.248
Rh1 Rh 0.500 0.500 0.763
```